Entry 1:
{
  "formula": "PtSeO2",
  "functional": "GGA-PBE",
  "state": "relaxed",
  "magnetic_moment_mub_per_fu": 0.00,
  "final_energy_ev_per_cell": -35.93,
  "e_above_lowest_polymorph_ev_per_atom": 0.599,
  "sg": "No. 122",
  "lattice": [[6.076, 0.000, 0.000], [0.000, 6.076, 0.000], [3.038, 3.038, 2.756]],
  "species": ["O", "O", "O", "O", "Se", "Se", "Pt", "Pt"],
  "fractional_positions": [[0.649, 0.125, 0.250], [0.101, 0.625, 0.250], [0.375, 0.351, 0.750], [0.875, 0.899, 0.750], [0.500, 0.500, 0.000], [0.250, 0.750, 0.500], [0.000, 0.000, 0.000], [0.750, 0.250, 0.500]]
}

=====

Entry 2:
{
  "formula": "Si2TcHg",
  "functional": "GGA-PBE",
  "state": "relaxed",
  "magnetic_moment_mub_per_fu": 0.00,
  "final_energy_ev_per_cell": -20.73,
  "sg": "No. 99",
  "lattice": [[3.252, 0.000, 0.000], [0.000, 3.252, 0.000], [0.000, 0.000, 6.216]],
  "species": ["Hg", "Si", "Si", "Tc"],
  "fractional_positions": [[0.500, 0.500, 0.756], [0.000, 0.000, 0.043], [0.500, 0.500, 0.277], [0.000, 0.000, 0.424]]
}

=====

Entry 3:
{
  "formula": "RbTl2Pd2",
  "functional": "GGA-PBE",
  "state": "relaxed",
  "magnetic_moment_mub_per_fu": 0.00,
  "final_energy_ev_per_cell": -33.90,
  "e_above_lowest_polymorph_ev_per_atom": 0.000,
  "e_form_mev_per_atom": -173,
  "sg": "No. 2",
  "lattice": [[6.722, -1.510, -1.939], [-3.591, 5.827, -2.062], [-0.012, 1.710, 7.459]],
  "species": ["Rb", "Rb", "Tl", "Tl", "Tl", "Tl", "Pd", "Pd", "Pd", "Pd"],
  "fractional_positions": [[0.123, 0.873, 0.250], [0.877, 0.127, 0.750], [0.775, 0.151, 0.221], [0.569, 0.445, 0.720], [0.431, 0.555, 0.280], [0.225, 0.849, 0.779], [0.508, 0.309, 0.040], [0.232, 0.533, 0.539], [0.492, 0.691, 0.960], [0.768, 0.467, 0.461]]
}

=====

Entry 4:
{
  "formula": "ScMnAl3",
  "functional": "GGA-PBE",
  "state": "relaxed",
  "magnetic_moment_mub_per_fu": 0.00,
  "final_energy_ev_per_cell": -27.07,
  "e_above_lowest_polymorph_ev_per_atom": 0.191,
  "e_form_mev_per_atom": -68,
  "sg": "No. 221",
  "lattice": [[4.489, 0.000, 0.000], [0.000, 4.489, 0.000], [0.000, 0.000, 4.489]],
  "species": ["Sc", "Mn", "Al", "Al", "Al"],
  "fractional_positions": [[0.500, 0.500, 0.500], [0.000, 0.000, 0.000], [0.000, 0.500, 0.000], [0.000, 0.000, 0.500], [0.500, 0.000, 0.000]]
}

=====

Entry 5:
{
  "formula": "SrZnGe2O6",
  "functional": "GGA-PBE",
  "state": "relaxed",
  "magnetic_moment_mub_per_fu": 0.00,
  "final_energy_ev_per_cell": -122.05,
  "sg": "No. 15",
  "lattice": [[-5.138, -2.738, 0.751], [1.287, -7.035, -2.002], [-0.035, -2.050, 7.138]],
  "species": ["Sr", "Sr", "Zn", "Zn", "Ge", "Ge", "Ge", "Ge", "O", "O", "O", "O", "O", "O", "O", "O", "O", "O", "O", "O"],
  "fractional_positions": [[0.250, 0.884, 0.116], [0.750, 0.116, 0.884], [0.250, 0.231, 0.769], [0.750, 0.769, 0.231], [0.317, 0.775, 0.616], [0.183, 0.384, 0.225], [0.683, 0.225, 0.384], [0.817, 0.616, 0.775], [0.194, 0.965, 0.786], [0.306, 0.214, 0.035], [0.806, 0.035, 0.214], [0.694, 0.786, 0.965], [0.422, 0.832, 0.387], [0.078, 0.613, 0.168], [0.578, 0.168, 0.613], [0.922, 0.387, 0.832], [0.059, 0.685, 0.612], [0.441, 0.388, 0.315], [0.941, 0.315, 0.388], [0.559, 0.612, 0.685]]
}

=====

Entry 6:
{
  "formula": "BaMg3Zn",
  "functional": "GGA-PBE",
  "state": "relaxed",
  "magnetic_moment_mub_per_fu": 0.00,
  "final_energy_ev_per_cell": -2.80,
  "e_above_lowest_polymorph_ev_per_atom": 1.112,
  "e_form_mev_per_atom": 1037,
  "sg": "No. 221",
  "lattice": [[-5.794, 2.874, 2.961], [-4.107, -4.509, -3.660], [0.398, -4.691, 5.332]],
  "species": ["Mg", "Mg", "Mg", "Zn", "Ba"],
  "fractional_positions": [[0.000, 0.500, 0.000], [0.000, 0.000, 0.500], [0.500, 0.000, 0.000], [0.500, 0.500, 0.500], [0.000, 0.000, 0.000]]
}

=====

Entry 7:
{
  "formula": "K12Rb2S7",
  "functional": "GGA-PBE",
  "state": "relaxed",
  "magnetic_moment_mub_per_fu": 0.02,
  "final_energy_ev_per_cell": -65.30,
  "sg": "No. 174",
  "lattice": [[4.885, 0.000, 0.000], [0.000, 11.050, -6.380], [0.000, 0.000, 12.760]],
  "species": ["K", "K", "K", "K", "K", "K", "K", "K", "K", "K", "K", "K", "Rb", "Rb", "S", "S", "S", "S", "S", "S", "S"],
  "fractional_positions": [[0.500, 0.891, 0.615], [0.500, 0.724, 0.109], [0.500, 0.385, 0.276], [0.500, 0.236, 0.791], [0.500, 0.555, 0.764], [0.500, 0.209, 0.445], [0.000, 0.055, 0.549], [0.000, 0.495, 0.945], [0.000, 0.451, 0.505], [0.000, 0.765, 0.728], [0.000, 0.963, 0.235], [0.000, 0.272, 0.037], [0.500, 0.000, 0.000], [0.000, 0.667, 0.333], [0.000, 0.333, 0.667], [0.000, 0.036, 0.787], [0.000, 0.751, 0.964], [0.000, 0.213, 0.249], [0.500, 0.619, 0.543], [0.500, 0.924, 0.381], [0.500, 0.457, 0.076]]
}

=====

Entry 8:
{
  "formula": "La2InRh",
  "functional": "GGA-PBE",
  "state": "relaxed",
  "magnetic_moment_mub_per_fu": 0.00,
  "final_energy_ev_per_cell": -21.80,
  "e_form_mev_per_atom": -465,
  "sg": "No. 123",
  "lattice": [[-4.727, -1.853, 0.221], [1.684, -3.977, 2.679], [-0.652, 2.079, 3.497]],
  "species": ["La", "La", "In", "Rh"],
  "fractional_positions": [[0.500, 0.000, 0.000], [0.000, 0.500, 0.000], [0.500, 0.500, 0.500], [0.000, 0.000, 0.500]]
}

=====

Entry 9:
{
  "formula": "As2PbAu",
  "functional": "GGA-PBE",
  "state": "relaxed",
  "magnetic_moment_mub_per_fu": 0.00,
  "final_energy_ev_per_cell": -16.13,
  "e_form_mev_per_atom": 40,
  "sg": "No. 160",
  "lattice": [[7.566, -0.165, -0.099], [6.661, 3.592, -0.099], [6.661, 1.605, 3.216]],
  "species": ["Pb", "As", "As", "Au"],
  "fractional_positions": [[0.752, 0.752, 0.752], [0.986, 0.986, 0.986], [0.253, 0.253, 0.253], [0.508, 0.508, 0.508]]
}

=====

Entry 10:
{
  "formula": "CrOsPdCl2",
  "functional": "GGA-PBE",
  "state": "relaxed",
  "magnetic_moment_mub_per_fu": 1.68,
  "final_energy_ev_per_cell": -23.96,
  "sg": "No. 123",
  "lattice": [[4.717, 0.000, 0.000], [0.000, 5.185, 0.000], [0.000, 0.000, 4.717]],
  "species": ["Cr", "Os", "Pd", "Cl", "Cl"],
  "fractional_positions": [[0.500, 0.500, 0.500], [0.000, 0.500, 0.000], [0.000, 0.000, 0.000], [0.000, 0.000, 0.500], [0.500, 0.000, 0.000]]
}